(1)
## Y2Ho4ErTm2 (PBE)

Data for a geometry-optimized Y2Ho4ErTm2 structure.

abc: 9.420 9.420 9.437
angles: 115.32 115.32 21.79
Atoms (fractional coordinates):
Y  0.148  0.148  0.166
Y  0.852  0.852  0.834
Ho  0.185  0.185  0.834
Ho  0.482  0.482  0.168
Ho  0.518  0.518  0.832
Ho  0.815  0.815  0.166
Er  0.000  0.000  0.500
Tm  0.333  0.333  0.498
Tm  0.667  0.667  0.502

Summary:
For the calculated volume, the calculation gives 280 Å³ per cell. As for the energy relative to the elements: 5 meV per atom. The total magnetic moment is 0.00 μB/atom. Its space group is No. 12.


(2)
## Tb4Pd2Pt5 (PBE)

Data for a geometry-optimized Tb4Pd2Pt5 structure.

abc: 10.440 9.421 6.009
angles: 81.94 63.31 34.74
Atoms (fractional coordinates):
Tb  0.028  0.719  0.281
Tb  0.281  0.972  0.028
Tb  0.719  0.028  0.972
Tb  0.972  0.281  0.719
Pd  0.257  0.257  0.743
Pd  0.743  0.743  0.257
Pt  0.000  0.000  0.000
Pt  0.000  0.000  0.500
Pt  0.250  0.250  0.250
Pt  0.500  0.500  0.000
Pt  0.750  0.750  0.750

Summary:
For the calculated volume, the calculation gives 269 Å³ per cell. As for the energy relative to the elements: -540 meV per atom. The total magnetic moment is 0.00 μB/atom. Its space group is No. 69.


(3)
## Li3In12Sb5 (PBE)

Data for a geometry-optimized Li3In12Sb5 structure.

abc: 14.708 14.708 14.708
angles: 109.47 109.47 109.47
Atoms (fractional coordinates):
Li  0.125  0.250  0.375
Li  0.125  0.375  0.750
Li  0.250  0.375  0.125
Li  0.250  0.875  0.625
Li  0.375  0.125  0.250
Li  0.375  0.750  0.125
Li  0.625  0.250  0.875
Li  0.625  0.875  0.750
Li  0.750  0.125  0.375
Li  0.750  0.625  0.875
Li  0.875  0.625  0.250
Li  0.875  0.750  0.625
In  0.056  0.626  0.380
In  0.056  0.930  0.676
In  0.070  0.246  0.126
In  0.070  0.324  0.944
In  0.120  0.746  0.676
In  0.120  0.874  0.444
In  0.126  0.070  0.246
In  0.126  0.556  0.880
In  0.176  0.246  0.620
In  0.176  0.430  0.556
In  0.246  0.126  0.070
In  0.246  0.620  0.176
In  0.254  0.324  0.880
In  0.254  0.430  0.374
In  0.324  0.880  0.254
In  0.324  0.944  0.070
In  0.374  0.254  0.430
In  0.374  0.620  0.944
In  0.380  0.056  0.626
In  0.380  0.824  0.754
In  0.430  0.374  0.254
In  0.430  0.556  0.176
In  0.444  0.120  0.874
In  0.444  0.824  0.570
In  0.556  0.176  0.430
In  0.556  0.880  0.126
In  0.570  0.444  0.824
In  0.570  0.626  0.746
In  0.620  0.176  0.246
In  0.620  0.944  0.374
In  0.626  0.380  0.056
In  0.626  0.746  0.570
In  0.676  0.056  0.930
In  0.676  0.120  0.746
In  0.746  0.570  0.626
In  0.746  0.676  0.120
In  0.754  0.380  0.824
In  0.754  0.874  0.930
In  0.824  0.570  0.444
In  0.824  0.754  0.380
In  0.874  0.444  0.120
In  0.874  0.930  0.754
In  0.880  0.126  0.556
In  0.880  0.254  0.324
In  0.930  0.676  0.056
In  0.930  0.754  0.874
In  0.944  0.070  0.324
In  0.944  0.374  0.620
Sb  0.000  0.000  0.000
Sb  0.000  0.000  0.500
Sb  0.000  0.500  0.000
Sb  0.000  0.500  0.500
Sb  0.125  0.750  0.875
Sb  0.125  0.875  0.250
Sb  0.250  0.125  0.875
Sb  0.250  0.625  0.375
Sb  0.375  0.250  0.625
Sb  0.375  0.625  0.750
Sb  0.500  0.000  0.000
Sb  0.500  0.000  0.500
Sb  0.500  0.500  0.000
Sb  0.500  0.500  0.500
Sb  0.625  0.375  0.250
Sb  0.625  0.750  0.375
Sb  0.750  0.375  0.625
Sb  0.750  0.875  0.125
Sb  0.875  0.125  0.750
Sb  0.875  0.250  0.125

Summary:
For the energy relative to the elements, uncorrected, the calculation gives -0.0018 eV per atom. For the calculated volume, the calculation gives 2450 Å³ per cell. The total magnetic moment is 0.00 μB/atom. Its space group is No. 230.


(4)
## ZrMn2Cd (PBE)

Data for a geometry-optimized ZrMn2Cd structure.

abc: 9.461 9.461 9.461
angles: 18.12 18.12 18.12
Atoms (fractional coordinates):
Zr  0.000  0.000  0.000
Mn  0.483  0.483  0.483
Mn  0.752  0.752  0.752
Cd  0.235  0.235  0.235

Summary:
For the calculated volume, the calculation gives 72 Å³ per cell. As for the energy relative to the elements: 259 meV per atom. The total magnetic moment is 0.05 μB/atom. Its space group is No. 160.